Density functional theory data (GGA-PBEsol) for an optimized crystal structure of KBaTiBr2.

Cell: 5.258 5.258 6.374 Å, 90.00 90.00 90.00°
Sites, in units of the cell vectors:
K  0.000  0.000  0.000
Ba  0.500  0.500  0.000
Ti  0.000  0.000  0.500
Br  0.000  0.500  0.500
Br  0.500  0.000  0.500

Computed properties:
- Crystal system: tetragonal
- DOS at the Fermi energy: 5.07 states/eV/cell
- Calculated density: 3620 kg/m³
- Size of the total moment: 0.52 μB/atom
- Formation energy without anion corrections: -0.2539 eV per atom

---

Density functional theory data (GGA-PBEsol) for an optimized crystal structure of BaMgSi2.

Cell: 9.984 9.984 9.984 Å, 18.83 18.83 18.83°
Sites, in units of the cell vectors:
Ba  0.000  0.000  0.000
Mg  0.500  0.500  0.500
Si  0.239  0.239  0.239
Si  0.761  0.761  0.761

Computed properties:
- Crystal system: trigonal
- DOS at the Fermi energy: 2.36 states/eV/cell
- Calculated density: 3992 kg/m³
- Size of the total moment: 0.00 μB/atom
- Formation energy without anion corrections: 0.2828 eV per atom

---

Density functional theory data (GGA-PBEsol) for an optimized crystal structure of Mg3Hg.

Cell: 5.699 5.699 5.699 Å, 116.68 116.68 116.68°
Sites, in units of the cell vectors:
Mg  0.000  0.500  0.500
Mg  0.500  0.000  0.500
Mg  0.500  0.500  0.000
Hg  0.000  0.000  0.000

Computed properties:
- Crystal system: trigonal
- DOS at the Fermi energy: 1.35 states/eV/cell
- Calculated density: 5303 kg/m³
- E_form: -9 kJ/mol of atoms
- Size of the total moment: 0.00 μB/atom

---

Density functional theory data (GGA-PBEsol) for an optimized crystal structure of YCdTc.

Cell: 4.609 4.609 4.609 Å, 60.00 60.00 60.00°
Sites, in units of the cell vectors:
Y  0.000  0.000  0.000
Cd  0.500  0.500  0.500
Tc  0.250  0.250  0.250

Computed properties:
- Crystal system: cubic
- DOS at the Fermi energy: 5.79 states/eV/cell
- E above lowest polymorph: 356.0 meV/atom
- Calculated density: 7180 kg/m³
- E_form: 61 kJ/mol of atoms
- Size of the total moment: 0.28 μB/atom

---

Density functional theory data (GGA-PBEsol) for an optimized crystal structure of Rh2CI.

Cell: 4.324 4.324 4.324 Å, 60.00 60.00 60.00°
Sites, in units of the cell vectors:
Rh  0.250  0.250  0.250
Rh  0.750  0.750  0.750
C  0.000  0.000  0.000
I  0.500  0.500  0.500

Computed properties:
- Crystal system: cubic
- DOS at the Fermi energy: 4.85 states/eV/cell
- Calculated density: 10014 kg/m³
- Size of the total moment: 0.00 μB/atom
- Formation energy without anion corrections: 1.4117 eV per atom

---

Density functional theory data (GGA-PBEsol) for an optimized crystal structure of Y2Al2Ni.

Cell: 5.728 5.728 5.728 Å, 137.70 124.78 71.94°
Sites, in units of the cell vectors:
Y  0.200  0.200  0.000
Y  0.800  0.800  0.000
Al  0.254  0.500  0.754
Al  0.746  0.500  0.246
Ni  0.500  0.000  0.500

Computed properties:
- Crystal system: orthorhombic
- DOS at the Fermi energy: 4.51 states/eV/cell
- Calculated density: 4740 kg/m³
- E_form: -41 kJ/mol of atoms
- Size of the total moment: 0.00 μB/atom

---

Density functional theory data (GGA-PBEsol) for an optimized crystal structure of In2IrBr.

Cell: 5.269 5.269 5.269 Å, 136.27 120.89 76.35°
Sites, in units of the cell vectors:
In  0.225  0.225  0.000
In  0.775  0.775  0.000
Ir  0.000  0.500  0.500
Br  0.500  0.000  0.500

Computed properties:
- Crystal system: orthorhombic
- DOS at the Fermi energy: 3.77 states/eV/cell
- E above lowest polymorph: 0.0 meV/atom
- Calculated density: 9861 kg/m³
- Size of the total moment: 0.00 μB/atom
- Formation energy without anion corrections: 0.4066 eV per atom

---

Density functional theory data (GGA-PBEsol) for an optimized crystal structure of NiTePd.

Cell: 8.311 3.739 6.236 Å, 90.00 90.00 90.00°
Sites, in units of the cell vectors:
Ni  0.104  0.250  0.013
Ni  0.396  0.750  0.513
Ni  0.604  0.250  0.487
Ni  0.896  0.750  0.987
Te  0.158  0.750  0.761
Te  0.342  0.250  0.261
Te  0.658  0.750  0.739
Te  0.842  0.250  0.239
Pd  0.085  0.750  0.348
Pd  0.415  0.250  0.848
Pd  0.585  0.750  0.152
Pd  0.915  0.250  0.652

Computed properties:
- Crystal system: orthorhombic
- DOS at the Fermi energy: 5.19 states/eV/cell
- Calculated density: 10032 kg/m³
- Size of the total moment: 0.00 μB/atom
- Formation energy without anion corrections: -0.2872 eV per atom

---

Density functional theory data (GGA-PBEsol) for an optimized crystal structure of Al2H18SO15.

Cell: 7.441 15.520 11.585 Å, 90.00 111.40 90.00°
Sites, in units of the cell vectors:
Al  0.077  0.034  0.130
Al  0.077  0.466  0.630
Al  0.343  0.548  0.523
Al  0.343  0.952  0.023
Al  0.657  0.048  0.977
Al  0.657  0.452  0.477
Al  0.923  0.534  0.370
Al  0.923  0.966  0.870
H  0.060  0.534  0.193
H  0.060  0.966  0.693
H  0.065  0.189  0.589
H  0.065  0.311  0.089
H  0.076  0.218  0.833
H  0.076  0.282  0.333
H  0.098  0.542  0.841
H  0.098  0.958  0.341
H  0.130  0.661  0.370
H  0.130  0.839  0.870
H  0.144  0.100  0.946
H  0.144  0.400  0.446
H  0.167  0.704  0.835
H  0.167  0.796  0.335
H  0.184  0.233  0.981
H  0.184  0.267  0.481
H  0.200  0.736  0.229
H  0.200  0.764  0.729
H  0.226  0.188  0.176
H  0.226  0.312  0.676
H  0.291  0.170  0.624
H  0.291  0.330  0.124
H  0.342  0.122  0.293
H  0.342  0.378  0.793
H  0.358  0.038  0.631
H  0.358  0.462  0.131
H  0.365  0.568  0.740
H  0.365  0.932  0.240
H  0.387  0.171  0.914
H  0.387  0.329  0.414
H  0.395  0.544  0.315
H  0.395  0.956  0.815
H  0.406  0.704  0.594
H  0.406  0.796  0.094
H  0.461  0.094  0.556
H  0.461  0.406  0.056
H  0.539  0.594  0.944
H  0.539  0.906  0.444
H  0.594  0.204  0.906
H  0.594  0.296  0.406
H  0.605  0.044  0.185
H  0.605  0.456  0.685
H  0.613  0.671  0.586
H  0.613  0.829  0.086
H  0.635  0.068  0.760
H  0.635  0.432  0.260
H  0.642  0.538  0.869
H  0.642  0.962  0.369
H  0.658  0.622  0.207
H  0.658  0.878  0.707
H  0.709  0.670  0.876
H  0.709  0.830  0.376
H  0.774  0.688  0.324
H  0.774  0.812  0.824
H  0.800  0.236  0.271
H  0.800  0.264  0.771
H  0.816  0.733  0.519
H  0.816  0.767  0.019
H  0.833  0.204  0.665
H  0.833  0.296  0.165
H  0.856  0.600  0.554
H  0.856  0.900  0.054
H  0.870  0.161  0.130
H  0.870  0.339  0.630
H  0.902  0.042  0.659
H  0.902  0.458  0.159
H  0.924  0.718  0.667
H  0.924  0.782  0.167
H  0.935  0.689  0.911
H  0.935  0.811  0.411
H  0.940  0.034  0.307
H  0.940  0.466  0.807
S  0.296  0.626  0.070
S  0.296  0.874  0.570
S  0.704  0.126  0.430
S  0.704  0.374  0.930
O  0.045  0.008  0.284
O  0.045  0.492  0.784
O  0.116  0.747  0.278
O  0.116  0.753  0.778
O  0.127  0.608  0.418
O  0.127  0.892  0.918
O  0.129  0.041  0.977
O  0.129  0.459  0.477
O  0.154  0.625  0.939
O  0.154  0.875  0.439
O  0.184  0.196  0.909
O  0.184  0.304  0.409
O  0.190  0.219  0.605
O  0.190  0.281  0.105
O  0.244  0.557  0.142
O  0.244  0.943  0.642
O  0.249  0.126  0.205
O  0.249  0.374  0.705
O  0.264  0.550  0.660
O  0.264  0.950  0.160
O  0.293  0.711  0.126
O  0.293  0.789  0.626
O  0.431  0.093  0.634
O  0.431  0.407  0.134
O  0.444  0.523  0.400
O  0.444  0.977  0.900
O  0.476  0.654  0.577
O  0.476  0.846  0.077
O  0.492  0.608  0.069
O  0.492  0.892  0.569
O  0.508  0.108  0.431
O  0.508  0.392  0.931
O  0.524  0.154  0.923
O  0.524  0.346  0.423
O  0.556  0.023  0.100
O  0.556  0.477  0.600
O  0.569  0.593  0.866
O  0.569  0.907  0.366
O  0.707  0.211  0.374
O  0.707  0.289  0.874
O  0.736  0.050  0.840
O  0.736  0.450  0.340
O  0.751  0.626  0.295
O  0.751  0.874  0.795
O  0.756  0.057  0.358
O  0.756  0.443  0.858
O  0.810  0.719  0.895
O  0.810  0.781  0.395
O  0.816  0.696  0.591
O  0.816  0.804  0.091
O  0.846  0.125  0.561
O  0.846  0.375  0.061
O  0.871  0.541  0.523
O  0.871  0.959  0.023
O  0.873  0.108  0.082
O  0.873  0.392  0.582
O  0.884  0.247  0.222
O  0.884  0.253  0.722
O  0.955  0.508  0.216
O  0.955  0.992  0.716

Computed properties:
- Crystal system: monoclinic
- Energy: -5.59 eV/atom
- DOS at the Fermi energy: 0.00 states/eV/cell
- Calculated density: 1835 kg/m³
- Size of the total moment: 0.00 μB/atom

---

Density functional theory data (GGA-PBEsol) for an optimized crystal structure of LaIr2N.

Cell: 7.271 7.271 7.271 Å, 140.82 140.82 56.61°
Sites, in units of the cell vectors:
La  0.000  0.000  0.000
La  0.750  0.250  0.500
Ir  0.317  0.625  0.192
Ir  0.375  0.567  0.692
Ir  0.433  0.125  0.808
Ir  0.875  0.683  0.308
N  0.250  0.750  0.500
N  0.500  0.500  0.000

Computed properties:
- Crystal system: tetragonal
- DOS at the Fermi energy: 3.46 states/eV/cell
- Calculated density: 11725 kg/m³
- Size of the total moment: 0.00 μB/atom
- Formation energy without anion corrections: -0.1028 eV per atom

---

Question: Which value of calculated density does entry 1 give?
Answer: 3620 kg/m³